# 1
Density functional theory data (PBE-GGA) for a geometry-optimized Zr2GeAsP structure.

Results
Energy relative to the elements: 332 meV/atom
Volume: 116.0 Å³ per cell
M_tot: 0.00 μB per cell

Cell: 5.101 4.457 5.101 Å, 90.00 90.00 90.00°
Atoms (fractional coordinates):
Ge 0.500 0.500 0.500
Zr 0.500 0.000 0.000
Zr 0.000 0.000 0.500
As 0.000 0.000 0.000
P 0.000 0.500 0.000

# 2
Density functional theory data (PBE-GGA) for a geometry-optimized Zr6GeAs3P2 structure.

Results
Energy relative to the elements: -1131 meV/atom
Volume: 239.2 Å³ per cell
M_tot: 0.00 μB per cell

Cell: 3.815 7.703 8.601 Å, 103.59 102.81 90.00°
Atoms (fractional coordinates):
As 0.836 0.167 0.673
As 0.500 0.500 0.000
As 0.164 0.833 0.327
Zr 0.327 0.430 0.655
Zr 0.673 0.570 0.345
Zr 0.669 0.103 0.339
Zr 0.331 0.897 0.661
Zr 0.007 0.253 0.014
Zr 0.993 0.747 0.986
Ge 0.500 0.000 0.000
P 0.833 0.666 0.666
P 0.167 0.334 0.334

- M_tot of number 2 (Zr6GeAs3P2)?
  0.00 μB per cell